1.
The following is a GGA-PBE calculation of a relaxed structure of LaSiP2O, from Alexandria.

energy above the most stable polymorph in this dataset	1223.8	meV/atom

a b c (Å): 5.6849 5.6849 4.1859
angles (deg): 90.00 90.00 90.00
With the nearest neighbours (Å) after each atom.
Positions (direct):
1 P 0.0000 0.5000 0.0000  2 La 2.84
2 P 0.5000 0.0000 0.0000  2 La 2.84
3 O 0.0000 0.0000 0.5000  2 La 2.09
4 Si 0.5000 0.5000 0.5000  8 P 3.53
5 La 0.0000 0.0000 0.0000  2 O 2.09

=====

2.
The following is a GGA-PBE calculation of a relaxed structure of LaSmP2O8, from Alexandria.

raw total energy	-95.109	eV/f.u.

a b c (Å): 5.3211 5.3211 7.3759
angles (deg): 90.00 90.00 120.00
With the nearest neighbours (Å) after each atom.
Positions (direct):
1 O 0.6502 0.8241 0.7241  1 P 1.56
2 O 0.3498 0.1759 0.2759  1 P 1.56
3 O 0.3333 0.6667 0.0043  1 P 1.53
4 O 0.8241 0.1739 0.2759  1 P 1.56
5 O 0.1759 0.8261 0.7241  1 P 1.56
6 O 0.1739 0.3498 0.7241  1 P 1.56
7 O 0.8261 0.6502 0.2759  1 P 1.56
8 O 0.6667 0.3333 0.9957  1 P 1.53
9 P 0.3333 0.6667 0.7970  4 O 1.53-1.56
10 P 0.6667 0.3333 0.2030  4 O 1.53-1.56
11 Sm 0.0000 0.0000 0.5000  6 O 2.31
12 La 0.0000 0.0000 0.0000  6 O 2.60

=====

3.
The following is a GGA-PBE calculation of a relaxed structure of LaSnPO2, from Alexandria.

energy above the most stable polymorph in this dataset	0.0	meV/atom

a b c (Å): 4.2044 4.2044 5.0420
angles (deg): 90.00 90.00 90.00
With the nearest neighbours (Å) after each atom.
Positions (direct):
1 Sn 0.0000 0.0000 0.0000  4 O 2.10
2 O 0.5000 0.0000 0.0000  2 Sn 2.10
3 O 0.0000 0.5000 0.0000  2 Sn 2.10
4 La 0.5000 0.5000 0.5000  4 P 2.97, 8 O 3.28
5 P 0.0000 0.0000 0.5000  2 Sn 2.52